[1]
Computed, not measured: Tb4Pr4Y after structural relaxation at the PBE level of DFT.

CIF file:
```
data_Tb4Pr4Y
_chemical_formula_sum 'Tb8 Pr8 Y2'
_cell_length_a 11.4418
_cell_length_b 5.1511
_cell_length_c 10.9033
_cell_angle_alpha 90.00
_cell_angle_beta 108.26
_cell_angle_gamma 90.00
_symmetry_space_group_name_H-M 'C 1 2/m 1'
_symmetry_Int_Tables_number 12
_symmetry_space_group_name_Hall '-C 2y'
loop_
_atom_site_label
_atom_site_type_symbol
_atom_site_fract_x
_atom_site_fract_y
_atom_site_fract_z
_atom_site_occupancy
Tb1 Tb 0.1662 0.0000 0.0539 1
Tb2 Tb 0.1687 0.0000 0.7247 1
Pr1 Pr 0.0013 0.5000 0.8336 1
Pr2 Pr 0.1666 0.0000 0.3883 1
Y1 Y 0.0000 0.5000 0.5000 1
```

The density of states at the Fermi level comes out at 26.22 states/eV per cell. For the uncorrected energy, the calculation gives -43.95 eV per formula unit. As for the total magnetization: 0.00 μB per cell. The calculation puts the density at 7.01 g/cm³. The calculation puts the energy of formation from the pure elements at 0.017 eV/atom.

---

[2]
Computed, not measured: Tb4Pr3Y4 after structural relaxation at the PBE level of DFT.

CIF file:
```
data_Tb4Pr3Y4
_chemical_formula_sum 'Tb8 Pr6 Y8'
_cell_length_a 3.5613
_cell_length_b 11.3898
_cell_length_c 18.6740
_cell_angle_alpha 90.00
_cell_angle_beta 90.00
_cell_angle_gamma 90.00
_symmetry_space_group_name_H-M 'I m m m'
_symmetry_Int_Tables_number 71
_symmetry_space_group_name_Hall '-I 2 2'
loop_
_atom_site_label
_atom_site_type_symbol
_atom_site_fract_x
_atom_site_fract_y
_atom_site_fract_z
_atom_site_occupancy
Tb1 Tb 0.0000 0.2465 0.1723 1
Pr1 Pr 0.0000 0.0000 0.3914 1
Pr2 Pr 0.0000 0.5000 0.5000 1
Y1 Y 0.0000 0.2868 0.0000 1
Y2 Y 0.0000 0.5000 0.2828 1
```

The density of states at the Fermi level comes out at 30.36 states/eV per cell. As for the energy above the most stable polymorph in this dataset: 19 meV/atom. For the uncorrected energy, the calculation gives -56.84 eV per formula unit. As for the total magnetization: 0.00 μB per cell. The calculation puts the density at 6.20 g/cm³. The calculation puts the energy of formation from the pure elements at 0.171 eV/atom.

---

[3]
Computed, not measured: Tb12Pr2Y after structural relaxation at the PBE level of DFT.

CIF file:
```
data_Tb12Pr2Y
_chemical_formula_sum 'Tb24 Pr4 Y2'
_cell_length_a 6.4580
_cell_length_b 6.4580
_cell_length_c 25.1471
_cell_angle_alpha 90.00
_cell_angle_beta 90.00
_cell_angle_gamma 90.00
_symmetry_space_group_name_H-M 'P 4/n b m'
_symmetry_Int_Tables_number 125
loop_
_symmetry_equiv_pos_as_xyz
'x,y,z'
'-x,-y,-z'
'-y+1/2,x,z'
'y+1/2,-x,-z'
'-x+1/2,-y+1/2,z'
'x+1/2,y+1/2,-z'
'y,-x+1/2,z'
'-y,x+1/2,-z'
'x,-y+1/2,-z'
'-x,y+1/2,z'
'-y+1/2,-x+1/2,-z'
'y+1/2,x+1/2,z'
'-x+1/2,y,-z'
'x+1/2,-y,z'
'y,x,-z'
'-y,-x,z'
loop_
_atom_site_label
_atom_site_type_symbol
_atom_site_fract_x
_atom_site_fract_y
_atom_site_fract_z
_atom_site_occupancy
Tb1 Tb 0.0635 0.5635 0.1156 1
Tb2 Tb 0.0818 0.5818 0.5604 1
Tb3 Tb 0.2500 0.2500 0.2154 1
Tb4 Tb 0.2500 0.2500 0.3399 1
Pr1 Pr 0.2500 0.7500 0.2694 1
Y1 Y 0.2500 0.7500 0.0000 1
```

The density of states at the Fermi level comes out at 42.79 states/eV per cell. For the uncorrected energy, the calculation gives -66.77 eV per formula unit. As for the total magnetization: 0.00 μB per cell. The calculation puts the density at 7.21 g/cm³. The calculation puts the energy of formation from the pure elements at 0.321 eV/atom.

---

[4]
Computed, not measured: Tb2Pr2Y after structural relaxation at the PBE level of DFT.

CIF file:
```
data_Tb2Pr2Y
_chemical_formula_sum 'Tb4 Pr4 Y2'
_cell_length_a 6.0062
_cell_length_b 6.0062
_cell_length_c 9.7377
_cell_angle_alpha 90.00
_cell_angle_beta 90.00
_cell_angle_gamma 90.00
_symmetry_space_group_name_H-M 'I 4/m m m'
_symmetry_Int_Tables_number 139
_symmetry_space_group_name_Hall '-I 4 2'
loop_
_atom_site_label
_atom_site_type_symbol
_atom_site_fract_x
_atom_site_fract_y
_atom_site_fract_z
_atom_site_occupancy
Tb1 Tb 0.0000 0.0000 0.1476 1
Pr1 Pr 0.0000 0.5000 0.2500 1
Y1 Y 0.0000 0.0000 0.5000 1
```

The density of states at the Fermi level comes out at 12.17 states/eV per cell. As for the energy above the most stable polymorph in this dataset: 440 meV/atom. For the uncorrected energy, the calculation gives -22.97 eV per formula unit. As for the total magnetization: 0.00 μB per cell. The calculation puts the density at 6.51 g/cm³. The calculation puts the energy of formation from the pure elements at 0.462 eV/atom.

---

[5]
Computed, not measured: Tb4PrY4 after structural relaxation at the PBE level of DFT.

CIF file:
```
data_Tb4PrY4
_chemical_formula_sum 'Tb8 Pr2 Y8'
_cell_length_a 10.7528
_cell_length_b 10.7528
_cell_length_c 5.0593
_cell_angle_alpha 90.00
_cell_angle_beta 90.00
_cell_angle_gamma 90.00
_symmetry_space_group_name_H-M 'I 4/m m m'
_symmetry_Int_Tables_number 139
_symmetry_space_group_name_Hall '-I 4 2'
loop_
_atom_site_label
_atom_site_type_symbol
_atom_site_fract_x
_atom_site_fract_y
_atom_site_fract_z
_atom_site_occupancy
Tb1 Tb 0.0000 0.3349 0.0000 1
Pr1 Pr 0.0000 0.0000 0.0000 1
Y1 Y 0.1675 0.1675 0.5000 1
```

The density of states at the Fermi level comes out at 26.42 states/eV per cell. For the uncorrected energy, the calculation gives -48.98 eV per formula unit. As for the total magnetization: 0.00 μB per cell. The calculation puts the density at 6.43 g/cm³. The calculation puts the energy of formation from the pure elements at 0.020 eV/atom.

---

[6]
Computed, not measured: Tb6Pr3Y after structural relaxation at the PBE level of DFT.

CIF file:
```
data_Tb6Pr3Y
_chemical_formula_sum 'Tb12 Pr6 Y2'
_cell_length_a 11.6406
_cell_length_b 6.6390
_cell_length_c 9.8527
_cell_angle_alpha 90.00
_cell_angle_beta 115.75
_cell_angle_gamma 90.00
_symmetry_space_group_name_H-M 'C 1 2/m 1'
_symmetry_Int_Tables_number 12
_symmetry_space_group_name_Hall '-C 2y'
loop_
_atom_site_label
_atom_site_type_symbol
_atom_site_fract_x
_atom_site_fract_y
_atom_site_fract_z
_atom_site_occupancy
Tb1 Tb 0.1351 0.0000 0.4211 1
Tb2 Tb 0.1850 0.2440 0.8141 1
Pr1 Pr 0.0000 0.5000 0.5000 1
Pr2 Pr 0.0721 0.5000 0.2024 1
Y1 Y 0.0000 0.0000 0.0000 1
```

The density of states at the Fermi level comes out at 37.43 states/eV per cell. As for the energy above the most stable polymorph in this dataset: 74 meV/atom. For the uncorrected energy, the calculation gives -46.36 eV per formula unit. As for the total magnetization: 0.00 μB per cell. The calculation puts the density at 7.09 g/cm³. The calculation puts the energy of formation from the pure elements at 0.222 eV/atom.

---

[7]
Computed, not measured: TbPr4Y3 after structural relaxation at the PBE level of DFT.

CIF file:
```
data_TbPr4Y3
_chemical_formula_sum 'Tb2 Pr8 Y6'
_cell_length_a 23.9117
_cell_length_b 3.5073
_cell_length_c 6.9002
_cell_angle_alpha 90.00
_cell_angle_beta 106.32
_cell_angle_gamma 90.00
_symmetry_space_group_name_H-M 'C 1 2/m 1'
_symmetry_Int_Tables_number 12
_symmetry_space_group_name_Hall '-C 2y'
loop_
_atom_site_label
_atom_site_type_symbol
_atom_site_fract_x
_atom_site_fract_y
_atom_site_fract_z
_atom_site_occupancy
Tb1 Tb 0.0000 0.0000 0.0000 1
Pr1 Pr 0.1233 0.5000 0.3688 1
Pr2 Pr 0.2406 0.0000 0.2361 1
Y1 Y 0.0000 0.5000 0.5000 1
Y2 Y 0.1224 0.5000 0.8810 1
```

The density of states at the Fermi level comes out at 28.58 states/eV per cell. As for the energy above the most stable polymorph in this dataset: 137 meV/atom. For the uncorrected energy, the calculation gives -41.83 eV per formula unit. As for the total magnetization: 0.00 μB per cell. The calculation puts the density at 5.92 g/cm³. The calculation puts the energy of formation from the pure elements at 0.163 eV/atom.

---

[8]
Computed, not measured: Tb2Pr4Y5 after structural relaxation at the PBE level of DFT.

CIF file:
```
data_Tb2Pr4Y5
_chemical_formula_sum 'Tb4 Pr8 Y10'
_cell_length_a 24.1640
_cell_length_b 3.5451
_cell_length_c 9.0177
_cell_angle_alpha 90.00
_cell_angle_beta 99.27
_cell_angle_gamma 90.00
_symmetry_space_group_name_H-M 'C 1 2/m 1'
_symmetry_Int_Tables_number 12
_symmetry_space_group_name_Hall '-C 2y'
loop_
_atom_site_label
_atom_site_type_symbol
_atom_site_fract_x
_atom_site_fract_y
_atom_site_fract_z
_atom_site_occupancy
Tb1 Tb 0.1016 0.0000 0.1983 1
Pr1 Pr 0.0274 0.0000 0.6900 1
Pr2 Pr 0.1304 0.5000 0.5375 1
Y1 Y 0.0000 0.5000 0.0000 1
Y2 Y 0.1787 0.0000 0.9040 1
Y3 Y 0.2318 0.0000 0.3243 1
```

The density of states at the Fermi level comes out at 34.34 states/eV per cell. As for the energy above the most stable polymorph in this dataset: 112 meV/atom. For the uncorrected energy, the calculation gives -58.34 eV per formula unit. As for the total magnetization: 0.00 μB per cell. The calculation puts the density at 5.78 g/cm³. The calculation puts the energy of formation from the pure elements at 0.215 eV/atom.